Material: Ta4FeCoO12
Method: DFT, meta-GGA SCAN
State: single point on PBEsol structure

Values from the calculation:
Crystal system = orthorhombic
E_form (uncorrected) = -2.679 eV per atom
Uncorrected energy = -23.60 eV/atom

```
18
Lattice="3.364 -3.369 0.000 3.364 3.369 0.000 0.000 0.000 9.007" Properties=species:S:1:pos:R:3 pbc="T T T"
Ta 0.000 0.000 1.516
Ta 0.000 0.000 7.491
Ta 3.364 0.000 2.955
Ta 3.364 0.000 6.052
Fe 0.000 0.000 4.503
Co 3.364 0.000 0.000
O 1.296 0.000 0.000
O 1.375 0.000 2.948
O 1.375 0.000 6.059
O 3.364 1.387 1.568
O 3.364 1.387 7.439
O 3.364 1.294 4.503
O 3.364 -1.294 4.503
O 3.364 -1.387 1.568
O 3.364 -1.387 7.439
O 5.352 0.000 2.948
O 5.352 0.000 6.059
O 5.431 0.000 0.000
```

Material: BaSr2In2
Method: DFT, meta-GGA SCAN
State: single point on PBEsol structure

Values from the calculation:
Crystal system = tetragonal
ΔH_f (0 K) = -0.212 eV/atom
Uncorrected energy = -30.39 eV/atom
Relative energy among the computed polymorphs = 21.9 kJ per mole of atoms

```
10
Lattice="5.950 0.000 0.000 0.000 5.950 0.000 0.000 0.000 12.016" Properties=species:S:1:pos:R:3 pbc="T T T"
Ba 0.000 0.000 0.000
Ba 2.975 2.975 6.008
Sr 0.000 0.000 4.185
Sr 0.000 0.000 7.830
Sr 2.975 2.975 1.823
Sr 2.975 2.975 10.193
In 0.000 2.975 3.004
In 0.000 2.975 9.012
In 2.975 0.000 3.004
In 2.975 0.000 9.012
```

Material: Nb3AsC
Method: DFT, meta-GGA SCAN
State: single point on PBEsol structure

Values from the calculation:
Crystal system = cubic
ΔH_f (0 K) = -0.037 eV/atom
Uncorrected energy = -25.97 eV/atom

```
5
Lattice="4.255 0.000 0.000 0.000 4.255 0.000 0.000 0.000 4.255" Properties=species:S:1:pos:R:3 pbc="T T T"
Nb 0.000 0.000 2.127
Nb 0.000 2.127 0.000
Nb 2.127 0.000 0.000
As 2.127 2.127 2.127
C 0.000 0.000 0.000
```

Material: TlMoIr2
Method: DFT, meta-GGA SCAN
State: single point on PBEsol structure

Values from the calculation:
Crystal system = trigonal
ΔH_f (0 K) = 0.288 eV/atom
Uncorrected energy = -62.07 eV/atom
Relative energy among the computed polymorphs = 0.0 kJ per mole of atoms

```
12
Lattice="2.839 0.000 0.000 -1.420 2.459 0.000 0.000 0.000 28.063" Properties=species:S:1:pos:R:3 pbc="T T T"
Tl 0.000 0.000 0.000
Tl 0.000 1.639 18.709
Tl 1.420 0.820 9.354
Mo 0.000 0.000 14.031
Mo 0.000 1.639 4.677
Mo 1.420 0.820 23.386
Ir 0.000 0.000 6.787
Ir 0.000 0.000 21.275
Ir 0.000 1.639 11.921
Ir 0.000 1.639 25.496
Ir 1.420 0.820 2.567
Ir 1.420 0.820 16.142
```

Material: KTl2
Method: DFT, meta-GGA SCAN
State: single point on PBEsol structure

Values from the calculation:
Crystal system = hexagonal
ΔH_f (0 K) = -0.192 eV/atom
Uncorrected energy = -51.21 eV/atom
Relative energy among the computed polymorphs = 0.0 kJ per mole of atoms

```
3
Lattice="5.374 0.000 0.000 -2.687 4.654 0.000 0.000 0.000 3.689" Properties=species:S:1:pos:R:3 pbc="T T T"
K 0.000 0.000 0.000
Tl 0.000 3.103 1.845
Tl 2.687 1.551 1.845
```

Material: K4Sr2SnAs4
Method: DFT, meta-GGA SCAN
State: single point on PBEsol structure

Values from the calculation:
Crystal system = hexagonal
ΔH_f (0 K) = -0.812 eV/atom
Uncorrected energy = -18.50 eV/atom
Relative energy among the computed polymorphs = 0.0 kJ per mole of atoms

```
66
Lattice="18.001 0.000 0.000 -9.001 15.590 0.000 0.000 0.000 7.592" Properties=species:S:1:pos:R:3 pbc="T T T"
K -1.205 2.088 0.000
K -4.227 7.321 2.473
K -4.774 8.269 6.269
K -7.795 13.502 3.796
K 2.411 0.000 0.000
K 1.205 2.088 3.796
K -1.429 8.157 0.138
K -2.652 10.274 3.935
K 1.429 8.157 3.935
K -1.222 12.749 0.138
K 8.453 0.000 2.473
K 4.227 7.321 6.269
K 2.652 10.274 0.138
K 1.222 12.749 3.935
K 7.778 2.840 0.138
K 6.349 5.316 3.935
K 9.548 0.000 6.269
K 4.774 8.269 2.473
K 10.223 2.840 3.935
K 7.571 7.433 0.138
K 11.652 5.316 0.138
K 10.430 7.433 3.935
K 15.591 0.000 3.796
K 7.795 13.502 0.000
Sr -0.428 5.143 2.461
Sr -4.761 12.647 6.257
Sr 0.428 5.143 6.257
Sr -4.333 13.389 2.461
Sr 4.668 2.201 2.461
Sr 4.240 2.942 6.257
Sr 4.761 12.647 2.461
Sr 4.333 13.389 6.257
Sr 13.334 2.201 6.257
Sr 8.573 10.447 2.461
Sr 13.762 2.942 2.461
Sr 9.429 10.447 6.257
Sn -2.990 5.178 5.346
Sn -6.011 10.411 1.550
Sn 5.979 0.000 5.346
Sn 2.990 5.178 1.550
Sn 12.022 0.000 1.550
Sn 6.011 10.411 5.346
As -1.746 3.024 4.446
As -2.859 4.952 0.399
As -6.142 10.637 4.195
As -7.255 12.566 0.649
As -1.562 7.220 4.545
As -3.529 10.627 0.748
As 3.492 0.000 4.446
As 1.746 3.024 0.649
As 5.718 0.000 0.399
As 2.859 4.952 4.195
As 1.562 7.220 0.748
As -1.967 13.333 4.545
As 7.034 2.257 4.545
As 5.471 4.963 0.748
As 3.529 10.627 4.545
As 1.967 13.333 0.748
As 12.283 0.000 4.195
As 10.968 2.257 0.748
As 7.438 8.370 4.545
As 6.142 10.637 0.399
As 14.510 0.000 0.649
As 7.255 12.566 4.446
As 12.530 4.963 4.545
As 10.563 8.370 0.748
```

Material: CdCoBi2
Method: DFT, meta-GGA SCAN
State: single point on PBEsol structure

Values from the calculation:
Crystal system = tetragonal
ΔH_f (0 K) = 0.280 eV/atom
Uncorrected energy = -50.94 eV/atom

```
16
Lattice="8.834 0.000 0.000 0.000 8.834 0.000 0.000 0.000 5.054" Properties=species:S:1:pos:R:3 pbc="T T T"
Cd 0.000 0.000 0.000
Cd 0.000 4.417 1.264
Cd 4.417 0.000 3.791
Cd 4.417 4.417 2.527
Co 0.000 0.000 2.527
Co 0.000 4.417 3.791
Co 4.417 0.000 1.264
Co 4.417 4.417 0.000
Bi 1.144 2.208 3.159
Bi 2.208 5.561 4.423
Bi 2.208 7.689 1.895
Bi 3.273 2.208 0.632
Bi 5.561 6.625 0.632
Bi 6.625 1.144 1.895
Bi 6.625 3.273 4.423
Bi 7.689 6.625 3.159
```

Material: LiGaPt
Method: DFT, meta-GGA SCAN
State: single point on PBEsol structure

Values from the calculation:
Crystal system = hexagonal
ΔH_f (0 K) = -0.745 eV/atom
Uncorrected energy = -30.39 eV/atom

```
6
Lattice="4.127 0.000 0.000 -2.063 3.574 0.000 0.000 0.000 5.369" Properties=species:S:1:pos:R:3 pbc="T T T"
Li 0.000 2.383 1.342
Li 2.063 1.191 4.026
Ga 0.000 2.383 4.026
Ga 2.063 1.191 1.342
Pt 0.000 0.000 0.000
Pt 0.000 0.000 2.684
```

Material: LaHPt3
Method: DFT, meta-GGA SCAN
State: single point on PBEsol structure

Values from the calculation:
Crystal system = cubic
Uncorrected energy = -49.78 eV/atom
Relative energy among the computed polymorphs = 217.2 kJ per mole of atoms

```
5
Lattice="5.176 0.000 0.000 0.000 5.176 0.000 0.000 0.000 5.176" Properties=species:S:1:pos:R:3 pbc="T T T"
La 0.000 0.000 0.000
H 2.588 2.588 2.588
Pt 0.000 0.000 2.588
Pt 0.000 2.588 0.000
Pt 2.588 0.000 0.000
```

Material: La4AuBr
Method: DFT, meta-GGA SCAN
State: single point on PBEsol structure

Values from the calculation:
Crystal system = cubic
E_form (uncorrected) = 0.004 eV per atom
Uncorrected energy = -43.50 eV/atom

```
6
Lattice="0.000 4.403 4.403 4.403 0.000 4.403 4.403 4.403 0.000" Properties=species:S:1:pos:R:3 pbc="T T T"
La 1.100 1.100 1.100
La 3.303 3.303 1.100
La 3.303 1.100 3.303
La 1.100 3.303 3.303
Au 4.403 4.403 4.403
Br 6.605 6.605 6.605
```

Material: BeAlSb
Method: DFT, meta-GGA SCAN
State: single point on PBEsol structure

Values from the calculation:
Crystal system = orthorhombic
E_form (uncorrected) = 0.437 eV per atom
Uncorrected energy = -16.02 eV/atom

```
12
Lattice="4.040 0.000 0.000 0.000 4.644 0.000 0.000 0.000 11.238" Properties=species:S:1:pos:R:3 pbc="T T T"
Be 0.000 0.000 0.000
Be 0.000 2.322 5.619
Be 2.020 0.000 5.619
Be 2.020 2.322 0.000
Al 0.000 0.000 6.991
Al 0.000 2.322 1.372
Al 2.020 0.000 1.372
Al 2.020 2.322 6.991
Sb 0.000 0.000 3.804
Sb 0.000 2.322 9.423
Sb 2.020 0.000 9.423
Sb 2.020 2.322 3.804
```

Material: Cr2NiOs
Method: DFT, meta-GGA SCAN
State: single point on PBEsol structure

Values from the calculation:
Crystal system = tetragonal
ΔH_f (0 K) = 0.016 eV/atom
Uncorrected energy = -31.19 eV/atom

```
4
Lattice="3.598 0.000 0.000 0.000 3.598 0.000 0.000 0.000 3.611" Properties=species:S:1:pos:R:3 pbc="T T T"
Cr 0.000 1.799 0.000
Cr 1.799 0.000 0.000
Ni 0.000 0.000 1.805
Os 1.799 1.799 1.805
```

Material: FeCoBr2
Method: DFT, meta-GGA SCAN
State: single point on PBEsol structure

Values from the calculation:
Crystal system = tetragonal
E_form (uncorrected) = 0.354 eV per atom
Uncorrected energy = -18.23 eV/atom
Relative energy among the computed polymorphs = 1.6 kJ per mole of atoms

```
8
Lattice="3.539 0.000 0.000 0.000 3.539 0.000 0.000 0.000 11.376" Properties=species:S:1:pos:R:3 pbc="T T T"
Fe 0.000 0.000 0.000
Fe 1.770 1.770 5.688
Co 0.000 1.770 8.532
Co 1.770 0.000 2.844
Br 0.000 0.000 5.688
Br 0.000 1.770 2.844
Br 1.770 0.000 8.532
Br 1.770 1.770 0.000
```

Material: BaZrH2N
Method: DFT, meta-GGA SCAN
State: single point on PBEsol structure

Values from the calculation:
Crystal system = tetragonal
Uncorrected energy = -16.82 eV/atom

```
5
Lattice="3.792 0.000 0.000 0.000 3.792 0.000 0.000 0.000 7.517" Properties=species:S:1:pos:R:3 pbc="T T T"
Ba 0.000 0.000 0.000
Zr 0.000 0.000 3.759
H 0.000 1.896 3.759
H 1.896 0.000 3.759
N 1.896 1.896 0.000
```

Material: KPbCl3
Method: DFT, meta-GGA SCAN
State: single point on PBEsol structure

Values from the calculation:
Crystal system = monoclinic
E_form (uncorrected) = -1.555 eV per atom
Uncorrected energy = -23.16 eV/atom

```
5
Lattice="5.629 0.000 0.000 0.000 5.508 0.000 -0.604 0.000 5.643" Properties=species:S:1:pos:R:3 pbc="T T T"
K 0.000 0.000 0.000
Pb 3.434 2.754 2.328
Cl 0.725 2.754 1.788
Cl 3.155 2.754 5.126
Cl 3.926 0.000 2.616
```

Material: PbCl2
Method: DFT, meta-GGA SCAN
State: single point on PBEsol structure

Values from the calculation:
Crystal system = tetragonal
E_form (uncorrected) = -1.048 eV per atom
Uncorrected energy = -31.63 eV/atom

```
12
Lattice="3.595 0.000 0.000 0.000 3.595 0.000 0.000 0.000 26.361" Properties=species:S:1:pos:R:3 pbc="T T T"
Pb 0.000 0.899 9.885
Pb 0.000 2.696 16.476
Pb 1.798 0.899 3.295
Pb 1.798 2.696 23.066
Cl 0.000 0.899 21.446
Cl 0.000 0.899 24.686
Cl 0.000 2.696 1.675
Cl 0.000 2.696 4.915
Cl 1.798 0.899 14.856
Cl 1.798 0.899 18.096
Cl 1.798 2.696 8.266
Cl 1.798 2.696 11.505
```

Material: AlAs2Os
Method: DFT, meta-GGA SCAN
State: single point on PBEsol structure

Values from the calculation:
Crystal system = orthorhombic
ΔH_f (0 K) = 0.392 eV/atom
Uncorrected energy = -29.61 eV/atom

```
4
Lattice="3.161 0.000 0.000 0.000 4.329 0.000 0.000 0.000 4.599" Properties=species:S:1:pos:R:3 pbc="T T T"
Al 0.000 0.000 0.000
As 0.000 2.164 2.300
As 1.580 0.000 2.300
Os 1.580 2.164 0.000
```

Material: CaOsRu3
Method: DFT, meta-GGA SCAN
State: single point on PBEsol structure

Values from the calculation:
Crystal system = cubic
ΔH_f (0 K) = 1.006 eV/atom
Uncorrected energy = -36.20 eV/atom

```
5
Lattice="4.663 0.000 0.000 0.000 4.663 0.000 0.000 0.000 4.663" Properties=species:S:1:pos:R:3 pbc="T T T"
Ca 0.000 0.000 0.000
Os 2.332 2.332 2.332
Ru 0.000 2.332 2.332
Ru 2.332 0.000 2.332
Ru 2.332 2.332 0.000
```

Material: CdHg2P
Method: DFT, meta-GGA SCAN
State: single point on PBEsol structure

Values from the calculation:
Crystal system = tetragonal
ΔH_f (0 K) = 0.342 eV/atom
Uncorrected energy = -43.94 eV/atom

```
8
Lattice="4.141 0.000 0.000 0.000 4.141 0.000 0.000 0.000 9.526" Properties=species:S:1:pos:R:3 pbc="T T T"
Cd 0.000 0.000 0.000
Cd 2.071 2.071 4.763
Hg 0.000 2.071 2.381
Hg 0.000 2.071 7.144
Hg 2.071 0.000 2.381
Hg 2.071 0.000 7.144
P 0.000 0.000 4.763
P 2.071 2.071 0.000
```

Material: NaTaZn2Ga
Method: DFT, meta-GGA SCAN
State: single point on PBEsol structure

Values from the calculation:
Crystal system = tetragonal
ΔH_f (0 K) = 1.335 eV/atom
Uncorrected energy = -21.50 eV/atom

```
5
Lattice="4.965 0.000 0.000 0.000 4.965 0.000 0.000 0.000 5.711" Properties=species:S:1:pos:R:3 pbc="T T T"
Na 0.000 0.000 0.000
Ta 0.000 0.000 2.856
Zn 0.000 2.483 2.856
Zn 2.483 0.000 2.856
Ga 2.483 2.483 0.000
```

Material: YTePb2
Method: DFT, meta-GGA SCAN
State: single point on PBEsol structure

Values from the calculation:
Crystal system = orthorhombic
E_form (uncorrected) = -0.582 eV per atom
Uncorrected energy = -54.75 eV/atom

```
8
Lattice="6.093 0.000 0.000 0.000 6.241 0.000 0.000 0.000 6.281" Properties=species:S:1:pos:R:3 pbc="T T T"
Y 0.000 0.000 0.000
Y 3.047 3.120 0.000
Te 0.000 3.120 0.000
Te 3.047 0.000 0.000
Pb 1.496 0.000 3.140
Pb 1.551 3.120 3.140
Pb 4.543 3.120 3.140
Pb 4.597 0.000 3.140
```

Material: K2BaMo
Method: DFT, meta-GGA SCAN
State: single point on PBEsol structure

Values from the calculation:
Crystal system = tetragonal
ΔH_f (0 K) = 1.034 eV/atom
Uncorrected energy = -21.74 eV/atom
Relative energy among the computed polymorphs = 0.0 kJ per mole of atoms

```
8
Lattice="6.159 0.000 0.000 0.000 6.159 0.000 0.000 0.000 8.792" Properties=species:S:1:pos:R:3 pbc="T T T"
K 0.000 0.000 0.000
K 0.000 3.079 2.198
K 3.079 0.000 6.594
K 3.079 3.079 4.396
Ba 0.000 3.079 6.594
Ba 3.079 0.000 2.198
Mo 0.000 0.000 4.396
Mo 3.079 3.079 0.000
```

Material: Li2ScInSi
Method: DFT, meta-GGA SCAN
State: single point on PBEsol structure

Values from the calculation:
Crystal system = tetragonal
E_form (uncorrected) = 0.445 eV per atom
Uncorrected energy = -12.04 eV/atom

```
5
Lattice="4.662 0.000 0.000 0.000 4.662 0.000 0.000 0.000 5.393" Properties=species:S:1:pos:R:3 pbc="T T T"
Li 0.000 2.331 0.000
Li 2.331 0.000 0.000
Sc 0.000 0.000 2.696
In 0.000 0.000 0.000
Si 2.331 2.331 2.696
```

Material: Ti3InSi
Method: DFT, meta-GGA SCAN
State: single point on PBEsol structure

Values from the calculation:
Crystal system = cubic
E_form (uncorrected) = -0.007 eV per atom
Uncorrected energy = -18.31 eV/atom

```
5
Lattice="4.584 0.000 0.000 0.000 4.584 0.000 0.000 0.000 4.584" Properties=species:S:1:pos:R:3 pbc="T T T"
Ti 0.000 0.000 2.292
Ti 0.000 2.292 0.000
Ti 2.292 0.000 0.000
In 2.292 2.292 2.292
Si 0.000 0.000 0.000
```

Material: ZnCrCl3
Method: DFT, meta-GGA SCAN
State: single point on PBEsol structure

Values from the calculation:
Crystal system = cubic
E_form (uncorrected) = -0.785 eV per atom
Uncorrected energy = -11.95 eV/atom

```
5
Lattice="4.735 0.000 0.000 0.000 4.735 0.000 0.000 0.000 4.735" Properties=species:S:1:pos:R:3 pbc="T T T"
Zn 0.000 0.000 0.000
Cr 2.368 2.368 2.368
Cl 0.000 2.368 2.368
Cl 2.368 0.000 2.368
Cl 2.368 2.368 0.000
```